VASP calculation (PBE-GGA) on a relaxed structure of La2PuAs4Pd3.

Lattice parameters (Å, degrees): 4.507 4.507 10.820 90.00 90.00 90.00
Space group P-4m2 (No. 115)
Unique sites:
1 La 0.000 0.500 0.223
2 Pu 0.000 0.000 0.500
3 As 0.000 0.000 0.000
4 As 0.000 0.500 0.659
5 As 0.500 0.500 0.000
6 Pd 0.000 0.500 0.891
7 Pd 0.500 0.500 0.500

## Properties
- calculated formation energy (eV per atom) = -0.893
- calculated density (g/cm3) = 8.62
- calculated volume (Å³/atom) = 21.98
- size of the total moment (μB/f.u.) = 5.5